(1)
An optimized crystal structure of PmAs2Ir, computed with PBE.

CIF file:
```
data_PmAs2Ir
_chemical_formula_sum 'Pm3 As6 Ir3'
_symmetry_space_group_name_H-M 'R -3 m'
_symmetry_Int_Tables_number 166
_symmetry_space_group_name_Hall '-R 3 2"'
_cell_length_a 4.0717
_cell_length_b 4.0717
_cell_length_c 16.8278
_cell_angle_alpha 90.00
_cell_angle_beta 90.00
_cell_angle_gamma 120.00
loop_
_atom_site_label
_atom_site_fract_x
_atom_site_fract_y
_atom_site_fract_z
Pm1 0.0000 0.0000 0.0000
As1 0.0000 0.0000 0.2289
Ir1 0.0000 0.0000 0.5000
```

Properties
energy relative to the lowest polymorph listed for this composition	0	meV/atom
crystal system	trigonal
ΔE_f	-0.8309	eV/atom


(2)
An optimized crystal structure of Pr2Nd4Ge3H2, computed with PBE.

CIF file:
```
data_Pr2Nd4Ge3H2
_chemical_formula_sum 'Pr4 Nd8 Ge6 H4'
_symmetry_space_group_name_H-M 'I 4/m m m'
_symmetry_Int_Tables_number 139
_symmetry_space_group_name_Hall '-I 4 2'
_cell_length_a 4.7081
_cell_length_b 4.7081
_cell_length_c 24.5659
_cell_angle_alpha 90.00
_cell_angle_beta 90.00
_cell_angle_gamma 90.00
loop_
_atom_site_label
_atom_site_fract_x
_atom_site_fract_y
_atom_site_fract_z
Pr1 0.0000 0.0000 0.2027
Nd1 0.0000 0.5000 0.0802
Ge1 0.0000 0.0000 0.3284
Ge2 0.0000 0.0000 0.5000
H1 0.0000 0.0000 0.1011
```

Properties
crystal system	tetragonal
DFT total energy	-5.04	eV/atom


(3)
An optimized crystal structure of Sm3Ho4TmS8, computed with PBE.

CIF file:
```
data_Sm3Ho4TmS8
_chemical_formula_sum 'Sm9 Ho12 Tm3 S24'
_symmetry_space_group_name_H-M 'R -3 m'
_symmetry_Int_Tables_number 166
_symmetry_space_group_name_Hall '-R 3 2"'
_cell_length_a 7.8470
_cell_length_b 7.8470
_cell_length_c 19.2888
_cell_angle_alpha 90.00
_cell_angle_beta 90.00
_cell_angle_gamma 120.00
loop_
_atom_site_label
_atom_site_fract_x
_atom_site_fract_y
_atom_site_fract_z
Sm1 0.0000 0.5000 0.0000
Ho1 0.0000 0.0000 0.5000
Ho2 0.0000 0.5000 0.5000
Tm1 0.0000 0.0000 0.0000
S1 0.0000 0.0000 0.2458
S2 0.0076 0.5038 0.7522
```

Properties
raw formation energy	-1.98	eV per atom
crystal system	trigonal


(4)
An optimized crystal structure of Mg4In5, computed with PBE.

CIF file:
```
data_Mg4In5
_chemical_formula_sum 'Mg8 In10'
_symmetry_space_group_name_H-M 'I 4/m m m'
_symmetry_Int_Tables_number 139
_symmetry_space_group_name_Hall '-I 4 2'
_cell_length_a 11.4329
_cell_length_b 11.4329
_cell_length_c 3.4707
_cell_angle_alpha 90.00
_cell_angle_beta 90.00
_cell_angle_gamma 90.00
loop_
_atom_site_label
_atom_site_fract_x
_atom_site_fract_y
_atom_site_fract_z
Mg1 0.0000 0.3324 0.0000
In1 0.0000 0.0000 0.0000
In2 0.1667 0.1667 0.5000
```

Properties
energy relative to the lowest polymorph listed for this composition	44	meV/atom
crystal system	tetragonal
ΔE_f	0.0033	eV/atom


(5)
An optimized crystal structure of K2CuSb4Au3, computed with PBE.

CIF file:
```
data_K2CuSb4Au3
_chemical_formula_sum 'K2 Cu1 Sb4 Au3'
_symmetry_space_group_name_H-M 'P -4 m 2'
_symmetry_Int_Tables_number 115
_cell_length_a 4.7735
_cell_length_b 4.7735
_cell_length_c 11.5173
_cell_angle_alpha 90.00
_cell_angle_beta 90.00
_cell_angle_gamma 90.00
loop_
_symmetry_equiv_pos_as_xyz
'x,y,z'
'y,-x,-z'
'-x,-y,z'
'-y,x,-z'
'-x,y,z'
'-y,-x,-z'
'x,-y,z'
'y,x,-z'
loop_
_atom_site_label
_atom_site_fract_x
_atom_site_fract_y
_atom_site_fract_z
K1 0.0000 0.5000 0.2395
Cu1 0.5000 0.5000 0.0000
Sb1 0.0000 0.0000 0.5000
Sb2 0.0000 0.5000 0.8771
Sb3 0.5000 0.5000 0.5000
Au1 0.0000 0.0000 0.0000
Au2 0.0000 0.5000 0.6402
```

Properties
raw formation energy	-0.25	eV per atom
crystal system	tetragonal


(6)
An optimized crystal structure of La2SmAgN, computed with PBE.

CIF file:
```
data_La2SmAgN
_chemical_formula_sum 'La2 Sm1 Ag1 N1'
_symmetry_space_group_name_H-M 'P 4/m m m'
_symmetry_Int_Tables_number 123
_symmetry_space_group_name_Hall '-P 4 2'
_cell_length_a 5.1136
_cell_length_b 5.1136
_cell_length_c 4.9120
_cell_angle_alpha 90.00
_cell_angle_beta 90.00
_cell_angle_gamma 90.00
loop_
_atom_site_label
_atom_site_fract_x
_atom_site_fract_y
_atom_site_fract_z
La1 0.0000 0.5000 0.0000
Sm1 0.0000 0.0000 0.5000
Ag1 0.5000 0.5000 0.5000
N1 0.0000 0.0000 0.0000
```

Properties
raw formation energy	-0.62	eV per atom
crystal system	tetragonal


(7)
An optimized crystal structure of LiErGe2S6, computed with PBE.

CIF file:
```
data_LiErGe2S6
_chemical_formula_sum 'Li4 Er4 Ge8 S24'
_symmetry_space_group_name_H-M 'C 1 2/c 1'
_symmetry_Int_Tables_number 15
_cell_length_a 12.4944
_cell_length_b 11.5352
_cell_length_c 6.5303
_cell_angle_alpha 90.00
_cell_angle_beta 104.47
_cell_angle_gamma 90.00
loop_
_symmetry_equiv_pos_as_xyz
'x,y,z'
'-x,-y,-z'
'-x,y,-z+1/2'
'x,-y,z+1/2'
'x+1/2,y+1/2,z'
'-x+1/2,-y+1/2,-z'
'-x+1/2,y+1/2,-z+1/2'
'x+1/2,-y+1/2,z+1/2'
loop_
_atom_site_label
_atom_site_fract_x
_atom_site_fract_y
_atom_site_fract_z
Li1 0.0000 0.2280 0.2500
Er1 0.0000 0.3854 0.7500
Ge1 0.2005 0.0825 0.7710
S1 0.1131 0.4165 0.1579
S2 0.1325 0.2434 0.6093
S3 0.1350 0.0728 0.0648
```

Properties
raw formation energy	-0.87	eV per atom
crystal system	monoclinic


(8)
An optimized crystal structure of ZnSi2Os2, computed with PBE.

CIF file:
```
data_ZnSi2Os2
_chemical_formula_sum 'Zn2 Si4 Os4'
_symmetry_space_group_name_H-M 'P 4/m b m'
_symmetry_Int_Tables_number 127
_symmetry_space_group_name_Hall '-P 4 2ab'
_cell_length_a 6.9951
_cell_length_b 6.9951
_cell_length_c 2.9001
_cell_angle_alpha 90.00
_cell_angle_beta 90.00
_cell_angle_gamma 90.00
loop_
_atom_site_label
_atom_site_fract_x
_atom_site_fract_y
_atom_site_fract_z
Zn1 0.0000 0.0000 0.0000
Si1 0.1457 0.3543 0.5000
Os1 0.1502 0.6502 0.0000
```

Properties
raw formation energy	-0.17	eV per atom
crystal system	tetragonal


What did the fifth record say?
An optimized crystal structure of K2CuSb4Au3, computed with PBE.

CIF file:
```
data_K2CuSb4Au3
_chemical_formula_sum 'K2 Cu1 Sb4 Au3'
_symmetry_space_group_name_H-M 'P -4 m 2'
_symmetry_Int_Tables_number 115
_cell_length_a 4.7735
_cell_length_b 4.7735
_cell_length_c 11.5173
_cell_angle_alpha 90.00
_cell_angle_beta 90.00
_cell_angle_gamma 90.00
loop_
_symmetry_equiv_pos_as_xyz
'x,y,z'
'y,-x,-z'
'-x,-y,z'
'-y,x,-z'
'-x,y,z'
'-y,-x,-z'
'x,-y,z'
'y,x,-z'
loop_
_atom_site_label
_atom_site_fract_x
_atom_site_fract_y
_atom_site_fract_z
K1 0.0000 0.5000 0.2395
Cu1 0.5000 0.5000 0.0000
Sb1 0.0000 0.0000 0.5000
Sb2 0.0000 0.5000 0.8771
Sb3 0.5000 0.5000 0.5000
Au1 0.0000 0.0000 0.0000
Au2 0.0000 0.5000 0.6402
```

Properties
raw formation energy	-0.25	eV per atom
crystal system	tetragonal